DFT (meta-GGA SCAN) results for a crystal of KBeAs relaxed with PBEsol.

Unit cell a=3.860 b=3.860 c=5.174 alpha=90.00 beta=90.00 gamma=120.00
Positions (direct):
K1 0.667 0.333 0.500
Be1 0.333 0.667 0.000
As1 0.000 0.000 0.000

Values from the calculation:
- SG: P-6m2, No. 187
- Electronic total energy: -0.4219 Ha/atom
- Crystal system: hexagonal
- ΔE_f: -523 meV/atom